[1]
Computed, not measured: a geometry-optimized CsScTeMo2 structure at the PBE level of DFT.

Calculated values
Space group ... P4/mmm (123)
Energy relative to the elements, uncorrected ... 54.2 kcal/mol of atoms

Lattice parameters (Å, degrees): 4.956 4.956 5.276 90.00 90.00 90.00
Positions (direct):
Cs 0.000 0.000 0.000
Sc 0.000 0.000 0.500
Te 0.500 0.500 0.500
Mo 0.000 0.500 0.000
Mo 0.500 0.000 0.000

---

[2]
Computed, not measured: a geometry-optimized CsMo3Se structure at the PBE level of DFT.

Calculated values
Space group ... Pm-3m (221)
Energy relative to the elements, uncorrected ... 75.1 kcal/mol of atoms

Lattice parameters (Å, degrees): 4.950 4.950 4.950 90.00 90.00 90.00
Positions (direct):
Cs 0.000 0.000 0.000
Mo 0.000 0.000 0.500
Mo 0.000 0.500 0.000
Mo 0.500 0.000 0.000
Se 0.500 0.500 0.500

---

[3]
Computed, not measured: a geometry-optimized Cs3MoSe4 structure at the PBE level of DFT.

Calculated values
Space group ... Pmn2_1 (31)
Energy relative to the elements, uncorrected ... -20.6 kcal/mol of atoms

Lattice parameters (Å, degrees): 13.835 7.271 6.759 90.00 90.00 90.00
Positions (direct):
Cs 0.000 0.116 0.000
Cs 0.247 0.713 0.935
Cs 0.253 0.287 0.435
Cs 0.500 0.884 0.500
Cs 0.747 0.287 0.435
Cs 0.753 0.713 0.935
Mo 0.000 0.644 0.355
Mo 0.500 0.356 0.855
Se 0.000 0.345 0.496
Se 0.000 0.602 0.007
Se 0.146 0.806 0.434
Se 0.354 0.194 0.934
Se 0.500 0.398 0.507
Se 0.500 0.655 0.996
Se 0.646 0.194 0.934
Se 0.854 0.806 0.434

---

[4]
Computed, not measured: a geometry-optimized Cs5Mo21Se23 structure at the PBE level of DFT.

Calculated values
Space group ... P6_3/m (176)
Energy relative to the elements, uncorrected ... -16.1 kcal/mol of atoms

Lattice parameters (Å, degrees): 9.867 9.867 30.141 90.00 90.00 120.00
Positions (direct):
Cs 0.000 0.000 0.092
Cs 0.000 0.000 0.250
Cs 0.000 0.000 0.408
Cs 0.000 0.000 0.592
Cs 0.000 0.000 0.750
Cs 0.000 0.000 0.908
Cs 0.333 0.667 0.167
Cs 0.333 0.667 0.333
Cs 0.667 0.333 0.667
Cs 0.667 0.333 0.833
Mo 0.168 0.647 0.675
Mo 0.168 0.647 0.825
Mo 0.169 0.646 0.524
Mo 0.169 0.646 0.976
Mo 0.186 0.502 0.600
Mo 0.186 0.502 0.900
Mo 0.189 0.502 0.750
Mo 0.313 0.811 0.750
Mo 0.316 0.814 0.600
Mo 0.316 0.814 0.900
Mo 0.353 0.522 0.675
Mo 0.353 0.522 0.825
Mo 0.354 0.523 0.524
Mo 0.354 0.523 0.976
Mo 0.477 0.831 0.524
Mo 0.477 0.831 0.976
Mo 0.478 0.832 0.675
Mo 0.478 0.832 0.825
Mo 0.498 0.684 0.600
Mo 0.498 0.684 0.900
Mo 0.498 0.687 0.750
Mo 0.502 0.313 0.250
Mo 0.502 0.316 0.100
Mo 0.502 0.316 0.400
Mo 0.522 0.168 0.175
Mo 0.522 0.168 0.325
Mo 0.523 0.169 0.024
Mo 0.523 0.169 0.476
Mo 0.646 0.477 0.024
Mo 0.646 0.477 0.476
Mo 0.647 0.478 0.175
Mo 0.647 0.478 0.325
Mo 0.684 0.186 0.100
Mo 0.684 0.186 0.400
Mo 0.687 0.189 0.250
Mo 0.811 0.498 0.250
Mo 0.814 0.498 0.100
Mo 0.814 0.498 0.400
Mo 0.831 0.354 0.024
Mo 0.831 0.354 0.476
Mo 0.832 0.353 0.175
Mo 0.832 0.353 0.325
Se 0.006 0.624 0.750
Se 0.012 0.631 0.599
Se 0.012 0.631 0.901
Se 0.046 0.343 0.529
Se 0.046 0.343 0.971
Se 0.047 0.339 0.675
Se 0.047 0.339 0.825
Se 0.292 0.953 0.675
Se 0.292 0.953 0.825
Se 0.296 0.954 0.529
Se 0.296 0.954 0.971
Se 0.333 0.667 0.044
Se 0.333 0.667 0.456
Se 0.339 0.292 0.175
Se 0.339 0.292 0.325
Se 0.343 0.296 0.029
Se 0.343 0.296 0.471
Se 0.369 0.380 0.599
Se 0.369 0.380 0.901
Se 0.376 0.381 0.750
Se 0.380 0.012 0.099
Se 0.380 0.012 0.401
Se 0.381 0.006 0.250
Se 0.619 0.994 0.750
Se 0.620 0.988 0.599
Se 0.620 0.988 0.901
Se 0.624 0.619 0.250
Se 0.631 0.620 0.099
Se 0.631 0.620 0.401
Se 0.657 0.704 0.529
Se 0.657 0.704 0.971
Se 0.661 0.708 0.675
Se 0.661 0.708 0.825
Se 0.667 0.333 0.544
Se 0.667 0.333 0.956
Se 0.704 0.046 0.029
Se 0.704 0.046 0.471
Se 0.708 0.047 0.175
Se 0.708 0.047 0.325
Se 0.953 0.661 0.175
Se 0.953 0.661 0.325
Se 0.954 0.657 0.029
Se 0.954 0.657 0.471
Se 0.988 0.369 0.099
Se 0.988 0.369 0.401
Se 0.994 0.376 0.250

---

[5]
Computed, not measured: a geometry-optimized CsMo3Se structure at the PBE level of DFT.

Calculated values
Space group ... Pm-3m (221)
Energy relative to the elements, uncorrected ... 38.6 kcal/mol of atoms

Lattice parameters (Å, degrees): 4.891 4.891 4.891 90.00 90.00 90.00
Positions (direct):
Cs 0.000 0.000 0.000
Mo 0.000 0.500 0.500
Mo 0.500 0.000 0.500
Mo 0.500 0.500 0.000
Se 0.500 0.500 0.500

---

[6]
Computed, not measured: a geometry-optimized Cs3Mo15Se17 structure at the PBE level of DFT.

Calculated values
Space group ... P6_3/m (176)
Energy relative to the elements, uncorrected ... -15.5 kcal/mol of atoms

Lattice parameters (Å, degrees): 9.842 9.842 21.054 90.00 90.00 120.00
Positions (direct):
Cs 0.000 0.000 0.136
Cs 0.000 0.000 0.364
Cs 0.000 0.000 0.636
Cs 0.000 0.000 0.864
Cs 0.333 0.667 0.250
Cs 0.667 0.333 0.750
Mo 0.167 0.645 0.534
Mo 0.167 0.645 0.966
Mo 0.168 0.647 0.750
Mo 0.185 0.501 0.643
Mo 0.185 0.501 0.857
Mo 0.316 0.815 0.643
Mo 0.316 0.815 0.857
Mo 0.353 0.521 0.750
Mo 0.355 0.522 0.534
Mo 0.355 0.522 0.966
Mo 0.478 0.833 0.534
Mo 0.478 0.833 0.966
Mo 0.479 0.832 0.750
Mo 0.499 0.684 0.643
Mo 0.499 0.684 0.857
Mo 0.501 0.316 0.143
Mo 0.501 0.316 0.357
Mo 0.521 0.168 0.250
Mo 0.522 0.167 0.034
Mo 0.522 0.167 0.466
Mo 0.645 0.478 0.034
Mo 0.645 0.478 0.466
Mo 0.647 0.479 0.250
Mo 0.684 0.185 0.143
Mo 0.684 0.185 0.357
Mo 0.815 0.499 0.143
Mo 0.815 0.499 0.357
Mo 0.832 0.353 0.250
Mo 0.833 0.355 0.034
Mo 0.833 0.355 0.466
Se 0.011 0.630 0.642
Se 0.011 0.630 0.858
Se 0.046 0.339 0.750
Se 0.046 0.342 0.542
Se 0.046 0.342 0.958
Se 0.293 0.954 0.750
Se 0.295 0.954 0.542
Se 0.295 0.954 0.958
Se 0.333 0.667 0.063
Se 0.333 0.667 0.437
Se 0.339 0.293 0.250
Se 0.342 0.295 0.042
Se 0.342 0.295 0.458
Se 0.370 0.380 0.642
Se 0.370 0.380 0.858
Se 0.380 0.011 0.142
Se 0.380 0.011 0.358
Se 0.620 0.989 0.642
Se 0.620 0.989 0.858
Se 0.630 0.620 0.142
Se 0.630 0.620 0.358
Se 0.658 0.705 0.542
Se 0.658 0.705 0.958
Se 0.661 0.707 0.750
Se 0.667 0.333 0.563
Se 0.667 0.333 0.937
Se 0.705 0.046 0.042
Se 0.705 0.046 0.458
Se 0.707 0.046 0.250
Se 0.954 0.658 0.042
Se 0.954 0.658 0.458
Se 0.954 0.661 0.250
Se 0.989 0.370 0.142
Se 0.989 0.370 0.358

---

[7]
Computed, not measured: a geometry-optimized CsSnMo2Se structure at the PBE level of DFT.

Calculated values
Space group ... P4/mmm (123)
Energy relative to the elements, uncorrected ... 59.8 kcal/mol of atoms

Lattice parameters (Å, degrees): 5.162 5.162 6.127 90.00 90.00 90.00
Positions (direct):
Cs 0.000 0.000 0.000
Sn 0.500 0.500 0.500
Mo 0.000 0.500 0.000
Mo 0.500 0.000 0.000
Se 0.000 0.000 0.500

---

[8]
Computed, not measured: a geometry-optimized CsTl2MoSe structure at the PBE level of DFT.

Calculated values
Space group ... P4/mmm (123)
Energy relative to the elements, uncorrected ... 11.7 kcal/mol of atoms

Lattice parameters (Å, degrees): 6.346 6.346 4.900 90.00 90.00 90.00
Positions (direct):
Cs 0.000 0.000 0.000
Tl 0.000 0.500 0.500
Tl 0.500 0.000 0.500
Mo 0.500 0.500 0.000
Se 0.500 0.500 0.500

---

[9]
Computed, not measured: a geometry-optimized Cs2TlMoSe4 structure at the PBE level of DFT.

Calculated values
Space group ... Fddd (70)
Energy relative to the elements, uncorrected ... -16.2 kcal/mol of atoms

Lattice parameters (Å, degrees): 14.445 13.200 7.919 82.22 64.88 32.90
Positions (direct):
Cs 0.056 0.056 0.694
Cs 0.306 0.306 0.944
Cs 0.694 0.694 0.056
Cs 0.944 0.944 0.306
Tl 0.125 0.125 0.125
Tl 0.875 0.875 0.875
Mo 0.375 0.375 0.375
Mo 0.625 0.625 0.625
Se 0.033 0.610 0.526
Se 0.331 0.526 0.610
Se 0.390 0.967 0.669
Se 0.474 0.669 0.967
Se 0.526 0.331 0.033
Se 0.610 0.033 0.331
Se 0.669 0.474 0.390
Se 0.967 0.390 0.474

---

[10]
Computed, not measured: a geometry-optimized Cs3SiMo structure at the PBE level of DFT.

Calculated values
Space group ... Pm-3m (221)
Energy relative to the elements, uncorrected ... 34.8 kcal/mol of atoms

Lattice parameters (Å, degrees): 7.310 7.310 7.310 90.00 90.00 90.00
Positions (direct):
Cs 0.000 0.000 0.500
Cs 0.000 0.500 0.000
Cs 0.500 0.000 0.000
Si 0.500 0.500 0.500
Mo 0.000 0.000 0.000

---

[11]
Computed, not measured: a geometry-optimized CsSi2Mo2 structure at the PBE level of DFT.

Calculated values
Space group ... P4/mbm (127)
Energy relative to the elements, uncorrected ... 16.4 kcal/mol of atoms

Lattice parameters (Å, degrees): 8.232 8.232 2.884 90.00 90.00 90.00
Positions (direct):
Cs 0.000 0.000 0.000
Cs 0.500 0.500 0.000
Si 0.136 0.364 0.000
Si 0.364 0.864 0.000
Si 0.636 0.136 0.000
Si 0.864 0.636 0.000
Mo 0.134 0.634 0.500
Mo 0.366 0.134 0.500
Mo 0.634 0.866 0.500
Mo 0.866 0.366 0.500

---

[12]
Computed, not measured: a geometry-optimized CsSi2Mo2 structure at the PBE level of DFT.

Calculated values
Space group ... I4/mmm (139)
Energy relative to the elements, uncorrected ... 6.5 kcal/mol of atoms

Lattice parameters (Å, degrees): 8.145 8.145 8.145 150.36 150.36 42.41
Positions (direct):
Cs 0.000 0.000 0.000
Si 0.339 0.339 0.000
Si 0.661 0.661 0.000
Mo 0.250 0.750 0.500
Mo 0.750 0.250 0.500

---

[13]
Computed, not measured: a geometry-optimized CsSiMo2 structure at the PBE level of DFT.

Calculated values
Space group ... I-42d (122)
Energy relative to the elements, uncorrected ... 30.8 kcal/mol of atoms

Lattice parameters (Å, degrees): 9.743 9.743 9.743 150.74 150.74 41.86
Positions (direct):
Cs 0.000 0.000 0.000
Cs 0.750 0.250 0.500
Si 0.250 0.750 0.500
Si 0.500 0.500 0.000
Mo 0.352 0.125 0.727
Mo 0.375 0.648 0.773
Mo 0.398 0.625 0.273
Mo 0.875 0.602 0.227

---

[14]
Computed, not measured: a geometry-optimized CsSiMo3 structure at the PBE level of DFT.

Calculated values
Space group ... Pm-3m (221)
Energy relative to the elements, uncorrected ... 39.4 kcal/mol of atoms

Lattice parameters (Å, degrees): 4.782 4.782 4.782 90.00 90.00 90.00
Positions (direct):
Cs 0.000 0.000 0.000
Si 0.500 0.500 0.500
Mo 0.000 0.500 0.500
Mo 0.500 0.000 0.500
Mo 0.500 0.500 0.000

---

[15]
Computed, not measured: a geometry-optimized CsSi3Mo structure at the PBE level of DFT.

Calculated values
Space group ... Pm-3m (221)
Energy relative to the elements, uncorrected ... 71.3 kcal/mol of atoms

Lattice parameters (Å, degrees): 5.165 5.165 5.165 90.00 90.00 90.00
Positions (direct):
Cs 0.000 0.000 0.000
Si 0.000 0.000 0.500
Si 0.000 0.500 0.000
Si 0.500 0.000 0.000
Mo 0.500 0.500 0.500

---

[16]
Computed, not measured: a geometry-optimized CsSiMo3 structure at the PBE level of DFT.

Calculated values
Space group ... Pm-3m (221)
Energy relative to the elements, uncorrected ... 78.4 kcal/mol of atoms

Lattice parameters (Å, degrees): 4.930 4.930 4.930 90.00 90.00 90.00
Positions (direct):
Cs 0.000 0.000 0.000
Si 0.500 0.500 0.500
Mo 0.000 0.000 0.500
Mo 0.000 0.500 0.000
Mo 0.500 0.000 0.000

---

[17]
Computed, not measured: a geometry-optimized CsSi3Mo structure at the PBE level of DFT.

Calculated values
Space group ... Pm-3m (221)
Energy relative to the elements, uncorrected ... 6.0 kcal/mol of atoms

Lattice parameters (Å, degrees): 4.884 4.884 4.884 90.00 90.00 90.00
Positions (direct):
Cs 0.000 0.000 0.000
Si 0.000 0.500 0.500
Si 0.500 0.000 0.500
Si 0.500 0.500 0.000
Mo 0.500 0.500 0.500

---

[18]
Computed, not measured: a geometry-optimized CsTl2SiMo structure at the PBE level of DFT.

Calculated values
Space group ... P4/mmm (123)
Energy relative to the elements, uncorrected ... 5.3 kcal/mol of atoms

Lattice parameters (Å, degrees): 5.531 5.531 4.895 90.00 90.00 90.00
Positions (direct):
Cs 0.000 0.000 0.000
Tl 0.000 0.500 0.500
Tl 0.500 0.000 0.500
Si 0.500 0.500 0.000
Mo 0.500 0.500 0.500